No. 1
VASP calculation (GGA-PBEsol) on Na3MgAlSi7O18 after structural relaxation.

Cell lengths 5.2659, 8.5966, 14.1977 Å; angles 107.62, 93.88, 90.00 degrees
Element x y z (fractional)
Na  0.3326  0.9655  0.3320
Na  0.6674  0.6334  0.6680
Na  0.0000  0.3035  0.0000
Na  0.5000  0.7045  0.0000
Na  0.8372  0.3667  0.3367
Na  0.1628  0.0301  0.6633
Mg  0.8334  0.7595  0.3318
Mg  0.1666  0.4277  0.6682
Al  0.0000  0.9093  0.0000
Al  0.5000  0.0963  0.0000
Si  0.5469  0.8565  0.5277
Si  0.7832  0.0003  0.8043
Si  0.8763  0.5223  0.8594
Si  0.1237  0.6628  0.1406
Si  0.2168  0.1959  0.1957
Si  0.0561  0.6690  0.5251
Si  0.3337  0.5742  0.3337
Si  0.4531  0.3289  0.4723
Si  0.2845  0.8158  0.8083
Si  0.3895  0.3348  0.8600
Si  0.6663  0.2405  0.6663
Si  0.6105  0.4748  0.1400
Si  0.7155  0.0075  0.1917
Si  0.9439  0.1439  0.4749
O  0.5173  0.8970  0.7638
O  0.5010  0.7698  0.4070
O  0.8571  0.5556  0.1053
O  0.8662  0.7172  0.9070
O  0.6907  0.8555  0.2316
O  0.8265  0.4362  0.7391
O  0.8173  0.7921  0.5642
O  0.6967  0.9664  0.0699
O  0.1827  0.2279  0.4358
O  0.1735  0.6971  0.2609
O  0.0205  0.8794  0.7635
O  0.1338  0.8102  0.0930
O  0.1938  0.3917  0.2487
O  0.9776  0.9529  0.4341
O  0.0224  0.5188  0.5659
O  0.1925  0.1198  0.0743
O  0.1429  0.4503  0.8947
O  0.0581  0.6176  0.4031
O  0.4990  0.3629  0.5930
O  0.3521  0.5370  0.0921
O  0.3033  0.8965  0.9301
O  0.4711  0.4742  0.4206
O  0.5289  0.0536  0.5794
O  0.3093  0.6239  0.7684
O  0.3637  0.1897  0.9076
O  0.4827  0.1332  0.2362
O  0.3899  0.2799  0.7375
O  0.3169  0.7774  0.5734
O  0.8075  0.0454  0.9257
O  0.6831  0.2041  0.4266
O  0.6101  0.5425  0.2625
O  0.8062  0.1431  0.7513
O  0.6363  0.2821  0.0924
O  0.6479  0.4449  0.9079
O  0.9419  0.2145  0.5969
O  0.9795  0.1160  0.2365

Results
Space group: C2, No. 5
Electronic total energy, eV/atom: -7.54

No. 2
VASP calculation (GGA-PBEsol) on Mg2NbAl2 after structural relaxation.

Cell lengths 3.0145, 7.6725, 7.6725 Å; angles 90.00, 90.00, 90.00 degrees
Element x y z (fractional)
Mg  0.0000  0.3722  0.8722
Mg  0.0000  0.8722  0.6278
Mg  0.0000  0.6278  0.1278
Mg  0.0000  0.1278  0.3722
Nb  0.0000  0.0000  0.0000
Nb  0.0000  0.5000  0.5000
Al  0.5000  0.1727  0.6727
Al  0.5000  0.6727  0.8273
Al  0.5000  0.8273  0.3273
Al  0.5000  0.3273  0.1727

Results
Space group: P4/mbm, No. 127
Formation enthalpy at 0 K, eV/atom: 0.23

No. 3
VASP calculation (GGA-PBEsol) on MgNb2Al after structural relaxation.

Cell lengths 5.4436, 5.8826, 5.8826 Å; angles 77.64, 62.44, 62.44 degrees
Element x y z (fractional)
Mg  0.5000  0.0000  0.0000
Mg  0.2500  0.5000  0.5000
Nb  0.6362  0.9888  0.4888
Nb  0.1138  0.0112  0.5112
Nb  0.3750  0.5112  0.9888
Nb  0.8750  0.4888  0.0112
Al  0.0000  0.0000  0.0000
Al  0.7500  0.5000  0.5000

Results
Space group: I-42d, No. 122
Formation enthalpy at 0 K, eV/atom: 0.51

No. 4
VASP calculation (GGA-PBEsol) on MgAl2Ni after structural relaxation.

Cell lengths 2.8194, 4.6792, 4.7434 Å; angles 109.21, 90.00, 90.00 degrees
Element x y z (fractional)
Al  0.0000  0.0000  0.0000
Al  0.5000  0.0000  0.5000
Mg  0.5000  0.5000  0.0000
Ni  0.0000  0.5000  0.5000

Results
Space group: P2/m, No. 10
Formation enthalpy at 0 K, eV/atom: -0.07